[1]
# SrMgGaHg2 (PBE, relaxed)
# N(E_F) = 2.7 states/eV per cell
# calculated volume = 33.7 Å³/atom
# E = -6.5 eV/f.u.
# space group = No. 123
# magnetization = 0.00 μB per cell
data_SrMgGaHg2
_cell_length_a 5.266
_cell_length_b 6.074
_cell_length_c 5.266
_cell_angle_alpha 90.00
_cell_angle_beta 90.00
_cell_angle_gamma 90.00
_space_group_name_H-M_alt 'P 1'
_space_group_IT_number 1
_space_group_name_Hall 'P 1'
loop_
_atom_site_label
_atom_site_type_symbol
_atom_site_fract_x
_atom_site_fract_y
_atom_site_fract_z
_atom_site_occupancy
Sr1 Sr 0.000 0.500 0.000 1
Hg1 Hg 0.000 0.000 0.500 1
Hg2 Hg 0.500 0.000 0.000 1
Ga1 Ga 0.000 0.000 0.000 1
Mg1 Mg 0.500 0.500 0.500 1

---

[2]
# SrMg2GaHg4 (PBE, relaxed)
# N(E_F) = 3.2 states/eV per cell
# calculated volume = 25.2 Å³/atom
# E = -11.2 eV/f.u.
# space group = No. 166
# magnetization = 0.00 μB per cell
data_SrMg2GaHg4
_cell_length_a 4.844
_cell_length_b 4.844
_cell_length_c 10.306
_cell_angle_alpha 76.41
_cell_angle_beta 76.41
_cell_angle_gamma 60.00
_space_group_name_H-M_alt 'P 1'
_space_group_IT_number 1
_space_group_name_Hall 'P 1'
loop_
_atom_site_label
_atom_site_type_symbol
_atom_site_fract_x
_atom_site_fract_y
_atom_site_fract_z
_atom_site_occupancy
Hg1 Hg 0.126 0.126 0.623 1
Mg1 Mg 0.766 0.766 0.702 1
Hg2 Hg 0.605 0.605 0.185 1
Sr1 Sr 0.000 0.000 0.000 1
Mg2 Mg 0.234 0.234 0.298 1
Hg3 Hg 0.874 0.874 0.377 1
Ga1 Ga 0.500 0.500 0.500 1
Hg4 Hg 0.395 0.395 0.815 1

---

[3]
# TbMgGaHg (PBE, relaxed)
# N(E_F) = 0.7 states/eV per cell
# calculated volume = 22.4 Å³/atom
# E = -11.3 eV/f.u.
# space group = No. 216
# magnetization = 0.00 μB per cell
data_TbMgGaHg
_cell_length_a 5.023
_cell_length_b 5.023
_cell_length_c 5.023
_cell_angle_alpha 60.00
_cell_angle_beta 60.00
_cell_angle_gamma 60.00
_space_group_name_H-M_alt 'P 1'
_space_group_IT_number 1
_space_group_name_Hall 'P 1'
loop_
_atom_site_label
_atom_site_type_symbol
_atom_site_fract_x
_atom_site_fract_y
_atom_site_fract_z
_atom_site_occupancy
Tb1 Tb 0.000 0.000 0.000 1
Ga1 Ga 0.250 0.250 0.250 1
Hg1 Hg 0.750 0.750 0.750 1
Mg1 Mg 0.500 0.500 0.500 1

---

[4]
# ThMgGaHg (PBE, relaxed)
# N(E_F) = 4.3 states/eV per cell
# calculated volume = 23.9 Å³/atom
# E = -13.5 eV/f.u.
# space group = No. 216
# magnetization = 0.00 μB per cell
data_ThMgGaHg
_cell_length_a 5.129
_cell_length_b 5.129
_cell_length_c 5.129
_cell_angle_alpha 60.00
_cell_angle_beta 60.00
_cell_angle_gamma 60.00
_space_group_name_H-M_alt 'P 1'
_space_group_IT_number 1
_space_group_name_Hall 'P 1'
loop_
_atom_site_label
_atom_site_type_symbol
_atom_site_fract_x
_atom_site_fract_y
_atom_site_fract_z
_atom_site_occupancy
Mg1 Mg 0.500 0.500 0.500 1
Ga1 Ga 0.250 0.250 0.250 1
Th1 Th 0.000 0.000 0.000 1
Hg1 Hg 0.750 0.750 0.750 1

---

[5]
# MgTiGa2Hg (PBE, relaxed)
# N(E_F) = 3.9 states/eV per cell
# calculated volume = 25.6 Å³/atom
# E = -11.7 eV/f.u.
# space group = No. 123
# magnetization = 0.00 μB per cell
data_MgTiGa2Hg
_cell_length_a 5.036
_cell_length_b 5.038
_cell_length_c 5.036
_cell_angle_alpha 90.00
_cell_angle_beta 90.00
_cell_angle_gamma 90.00
_space_group_name_H-M_alt 'P 1'
_space_group_IT_number 1
_space_group_name_Hall 'P 1'
loop_
_atom_site_label
_atom_site_type_symbol
_atom_site_fract_x
_atom_site_fract_y
_atom_site_fract_z
_atom_site_occupancy
Ga1 Ga 0.500 0.000 0.000 1
Mg1 Mg 0.000 0.500 0.000 1
Ti1 Ti 0.500 0.500 0.500 1
Ga2 Ga 0.000 0.000 0.500 1
Hg1 Hg 0.000 0.000 0.000 1

---

[6]
# MgTl2GaHg6 (PBE, relaxed)
# N(E_F) = 3.1 states/eV per cell
# calculated volume = 26.4 Å³/atom
# E = -11.3 eV/f.u.
# space group = No. 2
# magnetization = 0.00 μB per cell
data_MgTl2GaHg6
_cell_length_a 6.618
_cell_length_b 8.745
_cell_length_c 6.035
_cell_angle_alpha 50.17
_cell_angle_beta 87.76
_cell_angle_gamma 95.70
_space_group_name_H-M_alt 'P 1'
_space_group_IT_number 1
_space_group_name_Hall 'P 1'
loop_
_atom_site_label
_atom_site_type_symbol
_atom_site_fract_x
_atom_site_fract_y
_atom_site_fract_z
_atom_site_occupancy
Ga1 Ga 0.000 0.000 0.000 1
Hg1 Hg 0.781 0.877 0.718 1
Hg2 Hg 0.219 0.123 0.282 1
Tl1 Tl 0.099 0.617 0.630 1
Mg1 Mg 0.500 0.500 0.000 1
Hg3 Hg 0.387 0.276 0.627 1
Tl2 Tl 0.901 0.383 0.370 1
Hg4 Hg 0.713 0.209 0.048 1
Hg5 Hg 0.613 0.724 0.373 1
Hg6 Hg 0.287 0.791 0.952 1

---

[7]
# MgTlGaHg (PBE, relaxed)
# N(E_F) = 1.9 states/eV per cell
# calculated volume = 23.4 Å³/atom
# E = -7.1 eV/f.u.
# space group = No. 216
# magnetization = 0.00 μB per cell
data_MgTlGaHg
_cell_length_a 5.098
_cell_length_b 5.098
_cell_length_c 5.098
_cell_angle_alpha 60.00
_cell_angle_beta 60.00
_cell_angle_gamma 60.00
_space_group_name_H-M_alt 'P 1'
_space_group_IT_number 1
_space_group_name_Hall 'P 1'
loop_
_atom_site_label
_atom_site_type_symbol
_atom_site_fract_x
_atom_site_fract_y
_atom_site_fract_z
_atom_site_occupancy
Tl1 Tl 0.250 0.250 0.250 1
Ga1 Ga 0.500 0.500 0.500 1
Hg1 Hg 0.750 0.750 0.750 1
Mg1 Mg 0.000 0.000 0.000 1

---

[8]
# TmMgGaHg (PBE, relaxed)
# N(E_F) = 0.6 states/eV per cell
# calculated volume = 21.7 Å³/atom
# E = -11.1 eV/f.u.
# space group = No. 216
# magnetization = 0.00 μB per cell
data_TmMgGaHg
_cell_length_a 4.971
_cell_length_b 4.971
_cell_length_c 4.971
_cell_angle_alpha 60.00
_cell_angle_beta 60.00
_cell_angle_gamma 60.00
_space_group_name_H-M_alt 'P 1'
_space_group_IT_number 1
_space_group_name_Hall 'P 1'
loop_
_atom_site_label
_atom_site_type_symbol
_atom_site_fract_x
_atom_site_fract_y
_atom_site_fract_z
_atom_site_occupancy
Hg1 Hg 0.250 0.250 0.250 1
Mg1 Mg 0.000 0.000 0.000 1
Tm1 Tm 0.500 0.500 0.500 1
Ga1 Ga 0.750 0.750 0.750 1

---

What is the magnetization in the sixth record? 0.00 μB per cell